Record 1
RbCuSi GGA-PBE optimized geometry; space-group type = F-43m; polymorph energy (0 for the lowest one) = 600 meV/atom
1.0
0.000 3.680 3.680
3.680 0.000 3.680
3.680 3.680 0.000
Rb Cu Si
1 1 1
Cartesian
0.000 0.000 0.000 Rb
5.520 5.520 5.520 Cu
1.840 1.840 1.840 Si

Record 2
PaH3 GGA-PBE optimized geometry; total DFT energy (no corrections) = -168.70 eV per cell; space-group type = Pm-3n
1.0
6.581 0.000 0.000
0.000 6.581 0.000
0.000 0.000 6.581
Pa H
8 24
Cartesian
0.000 0.000 0.000 Pa
0.000 1.645 3.291 Pa
0.000 4.936 3.291 Pa
1.645 3.291 0.000 Pa
3.291 0.000 1.645 Pa
3.291 0.000 4.936 Pa
3.291 3.291 3.291 Pa
4.936 3.291 0.000 Pa
0.000 2.012 1.023 H
0.000 2.012 5.558 H
0.000 4.570 1.023 H
0.000 4.570 5.558 H
1.023 0.000 2.012 H
1.023 0.000 4.570 H
1.279 3.291 2.268 H
1.279 3.291 4.313 H
2.012 1.023 0.000 H
2.012 5.558 0.000 H
2.268 1.279 3.291 H
2.268 5.302 3.291 H
3.291 2.268 1.279 H
3.291 2.268 5.302 H
3.291 4.313 1.279 H
3.291 4.313 5.302 H
4.313 1.279 3.291 H
4.313 5.302 3.291 H
4.570 1.023 0.000 H
4.570 5.558 0.000 H
5.302 3.291 2.268 H
5.302 3.291 4.313 H
5.558 0.000 2.012 H
5.558 0.000 4.570 H

Record 3
La2GdSn5Pb2 GGA-PBE optimized geometry; space-group type = Cmmm; polymorph energy (0 for the lowest one) = 9 meV/atom
1.0
2.329 -13.018 0.000
2.329 13.018 0.000
0.000 0.000 4.714
La Gd Sn Pb
2 1 5 2
Cartesian
2.329 8.275 0.000 La
2.329 -8.275 0.000 La
0.000 0.000 0.000 Gd
2.329 10.621 2.357 Sn
2.329 2.380 0.000 Sn
2.329 0.000 2.357 Sn
2.329 -2.380 0.000 Sn
2.329 -10.621 2.357 Sn
2.329 5.403 2.357 Pb
2.329 -5.403 2.357 Pb

Record 4
TlPt9 GGA-PBE optimized geometry; space-group type = P4/nmm; polymorph energy (0 for the lowest one) = 20 meV/atom
1.0
2.852 0.000 0.000
0.000 2.852 0.000
0.000 0.000 51.711
Tl Pt
2 18
Cartesian
0.713 0.713 7.049 Tl
2.139 2.139 44.662 Tl
0.713 0.713 11.383 Pt
0.713 0.713 15.237 Pt
0.713 0.713 19.100 Pt
0.713 0.713 22.964 Pt
0.713 0.713 26.819 Pt
0.713 0.713 30.676 Pt
0.713 0.713 34.545 Pt
0.713 0.713 38.396 Pt
0.713 0.713 42.312 Pt
2.139 2.139 9.399 Pt
2.139 2.139 13.315 Pt
2.139 2.139 17.165 Pt
2.139 2.139 21.035 Pt
2.139 2.139 24.892 Pt
2.139 2.139 28.746 Pt
2.139 2.139 32.611 Pt
2.139 2.139 36.474 Pt
2.139 2.139 40.328 Pt

Record 5
MgBeCuB GGA-PBE optimized geometry; space-group type = F-43m; polymorph energy (0 for the lowest one) = 19 meV/atom
1.0
0.000 2.793 2.793
2.793 0.000 2.793
2.793 2.793 0.000
Mg Be Cu B
1 1 1 1
Cartesian
0.000 0.000 0.000 Mg
2.793 2.793 2.793 Be
4.190 4.190 4.190 Cu
1.397 1.397 1.397 B

Record 6
NdDy3Zn2 GGA-PBE optimized geometry; space-group type = P4/mmm; DFT formation energy = -0.230 eV per atom
1.0
3.570 0.000 0.000
0.000 3.570 0.000
0.000 0.000 12.294
Nd Dy Zn
1 3 2
Cartesian
0.000 0.000 0.000 Nd
1.785 1.785 2.622 Dy
1.785 1.785 6.147 Dy
1.785 1.785 9.671 Dy
0.000 0.000 4.389 Zn
0.000 0.000 7.905 Zn

Record 7
NaNdHgTe3 GGA-PBE optimized geometry; space-group type = C2/m; polymorph energy (0 for the lowest one) = 66 meV/atom
1.0
10.340 -2.221 0.000
10.340 2.221 0.000
-2.127 0.000 8.844
Na Nd Hg Te
2 2 2 6
Cartesian
2.322 0.000 0.726 Na
16.230 0.000 8.118 Na
2.366 0.000 5.268 Nd
16.186 0.000 3.576 Nd
8.826 0.000 2.430 Hg
9.726 0.000 6.414 Hg
-1.064 0.000 4.422 Te
6.217 0.000 1.303 Te
5.446 0.000 5.745 Te
10.340 0.000 0.000 Te
13.106 0.000 3.099 Te
12.335 0.000 7.541 Te

Record 8
NpPH GGA-PBE optimized geometry; total DFT energy (no corrections) = -46.98 eV per cell; space-group type = P4/nmm
1.0
3.859 0.000 0.000
0.000 3.859 0.000
0.000 0.000 5.742
Np P H
2 2 2
Cartesian
0.965 0.965 1.240 Np
2.894 2.894 4.502 Np
0.965 0.965 3.972 P
2.894 2.894 1.770 P
0.965 2.894 0.000 H
2.894 0.965 0.000 H

Record 9
Dy2Pa2O5 GGA-PBE optimized geometry; space-group type = P4/mmm; polymorph energy (0 for the lowest one) = 0 meV/atom
1.0
4.216 0.000 0.000
0.000 4.216 0.000
0.000 0.000 9.066
Dy Pa O
2 2 5
Cartesian
0.000 0.000 0.000 Dy
0.000 0.000 4.533 Dy
2.108 2.108 2.235 Pa
2.108 2.108 6.831 Pa
0.000 2.108 1.543 O
0.000 2.108 7.523 O
2.108 0.000 1.543 O
2.108 0.000 7.523 O
2.108 2.108 0.000 O

Record 10
NdDyCuSi3 GGA-PBE optimized geometry; space-group type = Fmmm; polymorph energy (0 for the lowest one) = 0 meV/atom
1.0
0.000 4.138 6.963
4.022 0.000 6.963
4.022 4.138 0.000
Nd Dy Cu Si
2 2 2 6
Cartesian
4.022 2.018 6.963 Nd
4.022 6.257 6.963 Nd
2.011 2.069 3.482 Dy
6.033 6.207 10.445 Dy
4.022 4.138 4.629 Cu
4.022 4.138 9.298 Cu
4.022 4.138 2.365 Si
5.992 4.138 5.772 Si
5.992 4.138 8.155 Si
2.053 4.138 5.772 Si
2.053 4.138 8.155 Si
4.022 4.138 11.562 Si

Record 11
Bi2W8C3N3 GGA-PBE optimized geometry; total DFT energy (no corrections) = -157.33 eV per cell; space-group type = P-3m1
1.0
3.253 0.000 0.000
-1.627 2.817 0.000
0.000 0.000 23.899
Bi W C N
2 8 3 3
Cartesian
0.000 1.878 6.067 Bi
1.627 0.939 17.832 Bi
0.000 0.000 3.432 W
0.000 0.000 8.700 W
0.000 0.000 15.199 W
0.000 0.000 20.468 W
0.000 1.878 1.295 W
0.000 1.878 10.689 W
1.627 0.939 13.211 W
1.627 0.939 22.604 W
0.000 0.000 0.000 C
0.000 1.878 21.359 C
1.627 0.939 2.540 C
0.000 0.000 11.950 N
0.000 1.878 14.464 N
1.627 0.939 9.435 N

Record 12
La3Hg3Pd2Pt GGA-PBE optimized geometry; space-group type = P-62m; DFT formation energy = -0.756 eV per atom
1.0
7.826 0.000 0.000
-3.913 6.777 0.000
0.000 0.000 4.113
La Hg Pd Pt
3 3 2 1
Cartesian
-2.360 4.088 0.000 La
1.553 2.690 0.000 La
4.720 0.000 0.000 La
-1.021 1.768 2.057 Hg
2.042 0.000 2.057 Hg
2.892 5.009 2.057 Hg
0.000 4.518 2.057 Pd
3.913 2.259 2.057 Pd
0.000 0.000 0.000 Pt